VASP calculation (PBE) on crystalline CuAs2P at its relaxed geometry. Values from VASP.

Output
- Fermi-level density of states: 0.840 states/eV/f.u.
- Final energy: -18.1 eV per cell
- Energy of formation: 16.7 kJ/mol of atoms

Geometry as Quantum ESPRESSO input:
```
&SYSTEM
  ibrav = 0, nat = 4, ntyp = 3
/
ATOMIC_SPECIES
As 74.92 As.upf
Cu 63.55 Cu.upf
P 30.97 P.upf
CELL_PARAMETERS angstrom
4.157 0.000 0.000
0.000 2.710 -0.006
0.000 1.373 6.831
ATOMIC_POSITIONS angstrom
As 0.000 3.574 6.588
As 2.079 0.855 2.912
Cu 0.000 2.205 2.222
P 2.079 3.575 5.339
```


VASP calculation (PBE) on crystalline UFe2Ir at its relaxed geometry. Values from VASP.

Output
- Fermi-level density of states: 3.798 states/eV/f.u.
- Final energy: -38.2 eV per cell
- Energy above the most stable polymorph in this dataset: 0 meV per atom
- Energy of formation: -26.3 kJ/mol of atoms

Geometry as Quantum ESPRESSO input:
```
&SYSTEM
  ibrav = 0, nat = 4, ntyp = 3
/
ATOMIC_SPECIES
Ir 192.22 Ir.upf
U 238.03 U.upf
Fe 55.84 Fe.upf
CELL_PARAMETERS angstrom
-1.245 -2.770 -2.177
0.860 -2.597 2.813
-3.598 0.436 1.503
ATOMIC_POSITIONS angstrom
Ir -0.623 -1.385 -1.089
U -1.992 -2.465 1.069
Fe -1.799 0.218 0.751
Fe 0.430 -1.298 1.406
```


VASP calculation (PBE) on crystalline SmScTl at its relaxed geometry. Values from VASP.

Output
- Fermi-level density of states: 3.087 states/eV/f.u.
- Final energy: -14.0 eV per cell
- Energy above the most stable polymorph in this dataset: 76 meV per atom
- Energy of formation: -18.3 kJ/mol of atoms

Geometry as Quantum ESPRESSO input:
```
&SYSTEM
  ibrav = 0, nat = 3, ntyp = 3
/
ATOMIC_SPECIES
Sc 44.96 Sc.upf
Tl 204.38 Tl.upf
Sm 150.36 Sm.upf
CELL_PARAMETERS angstrom
-3.299 -1.318 -1.170
2.366 -2.755 -3.565
-0.841 -1.986 4.609
ATOMIC_POSITIONS angstrom
Sc -0.351 -3.157 -1.425
Tl -1.423 -2.902 1.299
Sm 0.000 0.000 0.000
```


VASP calculation (PBE) on crystalline LiLaY2 at its relaxed geometry. Values from VASP.

Output
- Fermi-level density of states: 4.695 states/eV/f.u.
- Final energy: -19.0 eV per cell
- Energy above the most stable polymorph in this dataset: 110 meV per atom
- Energy of formation: 17.4 kJ/mol of atoms

Geometry as Quantum ESPRESSO input:
```
&SYSTEM
  ibrav = 0, nat = 4, ntyp = 3
/
ATOMIC_SPECIES
La 138.91 La.upf
Li 6.94 Li.upf
Y 88.91 Y.upf
CELL_PARAMETERS angstrom
-0.026 1.222 -5.480
-4.873 0.756 -2.685
-1.488 5.132 -1.725
ATOMIC_POSITIONS angstrom
La -3.193 3.555 -4.945
Li -4.790 5.333 -7.418
Y 0.000 0.000 0.000
Y -1.597 1.778 -2.473
```